1.
PmZnGa2Pt2 | GGA-PBE | relaxed

Computed properties:
- V (Å³ per atom) = 18.56
- SG = P-3m1, No. 164
- electronic total energy (eV per atom) = -4.820
- ρ (Mg/m³) = 11.0

```
PmZnGa2Pt2
1.0
4.385 0.000 0.000
-2.193 3.798 0.000
0.000 0.000 6.686
Pm Zn Ga Pt
1 1 2 2
Direct
0.000 0.000 0.000 Pm
0.000 0.000 0.500 Zn
0.333 0.667 0.297 Ga
0.667 0.333 0.703 Ga
0.333 0.667 0.703 Pt
0.667 0.333 0.297 Pt
```



2.
PmZn2GaPt | GGA-PBE | relaxed

Computed properties:
- V (Å³ per atom) = 18.89
- SG = Imm2, No. 44
- electronic total energy (eV per atom) = -3.870
- ρ (Mg/m³) = 9.5

```
PmZn2GaPt
1.0
-1.996 2.157 5.483
1.996 -2.157 5.483
1.996 2.157 -5.483
Pm Zn Ga Pt
1 2 1 1
Direct
0.000 0.000 0.000 Pm
0.613 0.613 0.000 Zn
0.755 0.255 0.500 Zn
0.386 0.386 0.000 Ga
0.243 0.743 0.500 Pt
```



3.
Pm2Zn4Ga3Pt | GGA-PBE | relaxed

Computed properties:
- V (Å³ per atom) = 18.99
- SG = P-4m2, No. 115
- electronic total energy (eV per atom) = -3.501
- ρ (Mg/m³) = 8.4

```
Pm2Zn4Ga3Pt
1.0
4.235 0.000 0.000
0.000 4.235 0.000
0.000 0.000 10.590
Pm Zn Ga Pt
2 4 3 1
Direct
0.000 0.500 0.246 Pm
0.500 0.000 0.754 Pm
0.000 0.000 0.500 Zn
0.000 0.500 0.864 Zn
0.500 0.000 0.136 Zn
0.500 0.500 0.500 Zn
0.000 0.000 0.000 Ga
0.000 0.500 0.635 Ga
0.500 0.000 0.365 Ga
0.500 0.500 0.000 Pt
```



no.,DFT formation energy (meV/atom)
1,-793.6
2,-596.7
3,-528.8